[1]
The following is a DFT calculation (PBE) of crystalline BaLiSnPd at its relaxed geometry.

Values from the calculation:
Crystal system   trigonal
DFT total energy   -3.87 eV per atom

abc: 4.7096 4.7096 17.0043
angles: 90.00 90.00 120.00
Space group R3m (No. 160, hexagonal axes)
Asymmetric unit:
Ba1 0.0000 0.0000 0.0000 [3 per cell]
Li1 0.0000 0.0000 0.1881 [3 per cell]
Sn1 0.0000 0.0000 0.4878 [3 per cell]
Pd1 0.0000 0.0000 0.8082 [3 per cell]

[2]
The following is a DFT calculation (PBE) of crystalline Sm4SiPtCl2 at its relaxed geometry.

Values from the calculation:
Crystal system   monoclinic
DFT total energy   -5.46 eV per atom

abc: 7.261 4.102 7.462
angles: 90.00 108.38 90.00
Space group P2/m (No. 10)
Asymmetric unit:
Sm1 0.216 0.000 0.233 [2 per cell]
Sm2 0.227 0.500 0.742 [2 per cell]
Si1 0.000 0.000 0.500 [1 per cell]
Pt1 0.000 0.500 0.000 [1 per cell]
Cl1 0.500 0.000 0.000 [1 per cell]
Cl2 0.500 0.500 0.500 [1 per cell]